Record 1
A plane-wave DFT calculation with GGA-PBE was carried out for a relaxed structure of TmFe2Ni5.

Cell lengths 3.618, 6.603, 9.122 Å; angles 90.00, 90.00, 90.00 degrees
Space group Immm (No. 71)
Unique sites:
Tm 0.000 0.000 0.000 x2
Fe 0.000 0.500 0.251 x4
Ni 0.000 0.189 0.360 x8
Ni 0.000 0.500 0.000 x2

## Properties
Energy of formation from the pure elements: -0.0206 eV/atom
Magnetization: 7.811 μB/f.u.
Volume: 13.6 A^3/atom

***

Record 2
A plane-wave DFT calculation with GGA-PBE was carried out for a relaxed structure of TmFeNi6.

Cell lengths 3.731, 3.731, 8.017 Å; angles 90.00, 90.00, 90.00 degrees
Space group P4/mmm (No. 123)
Unique sites:
Tm 0.000 0.000 0.000 x1
Fe 0.000 0.000 0.500 x1
Ni 0.000 0.500 0.322 x4
Ni 0.500 0.500 0.140 x2

## Properties
Energy of formation from the pure elements: 0.0304 eV/atom
Magnetization: 5.779 μB/f.u.
Volume: 13.9 A^3/atom

***

Total energy? In order: -6.309, -5.922 eV/atom.